A plane-wave DFT calculation with PBE was carried out for a relaxed structure of Sr3Np3UN8.

Magnetization ... 9.023 μB/cell
Total DFT energy (no corrections) ... -9.1741 eV per atom
Raw formation energy ... -1057 meV per atom

Geometry as POSCAR:
```
Sr3Np3UN8
1.0
3.5268 2.0362 6.0077
-3.5268 2.0362 6.0077
0.0000 -4.0724 6.0077
Sr Np U N
3 3 1 8
direct
0.0000 0.5000 0.5000
0.5000 0.0000 0.5000
0.5000 0.5000 0.0000
0.0000 0.0000 0.5000
0.0000 0.5000 0.0000
0.5000 0.0000 0.0000
0.5000 0.5000 0.5000
0.2335 0.2335 0.2335
0.2394 0.7191 0.7191
0.2809 0.2809 0.7606
0.2809 0.7606 0.2809
0.7191 0.2394 0.7191
0.7191 0.7191 0.2394
0.7606 0.2809 0.2809
0.7665 0.7665 0.7665
```